Be3GaBi (GGA-PBE, relaxed); spin magnetization = 0.0000 μB/atom; distance to the lowest polymorph of the same formula = 3.01 eV per formula unit; D(E_F) = 2.18 states/eV/f.u.; ΔE_f = 1.422 eV per atom
1.0
-4.5886 0.1919 1.5985
1.0435 -3.3220 3.3945
1.2260 3.5461 3.0935
Ga Be Bi
1 3 1
direct
0.5000 0.5000 0.5000 Ga
0.0000 0.5000 0.0000 Be
0.5000 0.0000 0.0000 Be
0.0000 0.0000 0.5000 Be
0.0000 0.0000 0.0000 Bi